A relaxed LiOs3Au crystal. Source: Alexandria via LeMat-Bulk, functional PBE.

- Polymorph energy (0 for the lowest one): 0.0 kJ/mol of atoms
- SG: Pm-3m (221)
- Density of states at the Fermi level: 18.4 states/eV/f.u.
- Mass density: 18.04 g/cm3
- Energy of formation from the pure elements: 1508 meV per atom

Cell lengths 4.146, 4.146, 4.146 Å; angles 90.00, 90.00, 90.00 degrees
Each line ends with the local moment (μB).
Element x y z (fractional)
1 Os 0.000 0.500 0.000  0.21
2 Os 0.000 0.000 0.500  0.12
3 Os 0.500 0.000 0.000  0.19
4 Au 0.500 0.500 0.500  0.01
5 Li 0.000 0.000 0.000  0.00